Here is crystalline LiPrBe2H6 at its relaxed geometry from Alexandria via LeMat-Bulk. Energies are from GGA-PBE.

abc: 4.3783 4.3783 5.7189
angles: 67.49 67.49 60.00
Positions (direct):
Be (0.2191, 0.2191, 0.3427)
H (0.0771, 0.5719, 0.7791)
H (0.9229, 0.4281, 0.2209)
H (0.5719, 0.0771, 0.7791)
H (0.4281, 0.9229, 0.2209)
H (0.4281, 0.4281, 0.2209)
Be (0.7809, 0.7809, 0.6573)
Pr (0.0000, 0.0000, 0.0000)
Li (0.5000, 0.5000, 0.5000)
H (0.5719, 0.5719, 0.7791)

Summary:
VASP energy = -3.679 eV per atom

Here is crystalline RbLiBeH4 at its relaxed geometry from Alexandria via LeMat-Bulk. Energies are from GGA-PBE.

abc: 4.6288 5.3497 7.5897
angles: 90.00 112.08 90.00
Positions (direct):
H (0.4265, 0.7500, 0.4841)
Rb (0.6109, 0.7500, 0.8696)
Li (0.8240, 0.7500, 0.4870)
H (0.2418, 0.7500, 0.1449)
Be (0.8364, 0.2500, 0.6895)
Rb (0.3891, 0.2500, 0.1304)
H (0.7582, 0.2500, 0.8551)
H (0.9734, 0.9688, 0.3124)
H (0.9734, 0.5312, 0.3124)
Be (0.1636, 0.7500, 0.3105)
H (0.5735, 0.2500, 0.5159)
Li (0.1760, 0.2500, 0.5130)
H (0.0266, 0.0312, 0.6876)
H (0.0266, 0.4688, 0.6876)

Summary:
VASP energy = -3.156 eV per atom

Here is crystalline LiBeHRh2 at its relaxed geometry from Alexandria via LeMat-Bulk. Energies are from GGA-PBE.

abc: 4.2665 2.8430 4.2665
angles: 90.00 90.00 90.00
Positions (direct):
Rh (0.5000, 0.0000, 0.0000)
H (0.0000, 0.5000, 0.0000)
Rh (0.0000, 0.0000, 0.5000)
Be (0.5000, 0.5000, 0.5000)
Li (0.0000, 0.0000, 0.0000)

Summary:
relative energy among the computed polymorphs = 759 meV/atom

Here is crystalline LiBeHRh2 at its relaxed geometry from Alexandria via LeMat-Bulk. Energies are from GGA-PBE.

abc: 3.9345 3.9345 3.1276
angles: 90.00 90.00 90.00
Positions (direct):
Li (0.0000, 0.0000, 0.5000)
Be (0.5000, 0.5000, 0.5000)
Rh (0.0000, 0.5000, 0.0000)
Rh (0.5000, 0.0000, 0.0000)
H (0.0000, 0.0000, 0.0000)

Summary:
relative energy among the computed polymorphs = 0 meV/atom

Spin magnetization across the listed records, respectively: 0.0, 0.0, 0.0, 0.0 μB/cell.
Calculated volume across the listed records, respectively: 85.16, 174.15, 51.75, 48.42 Å³ per cell.